Run P
First-principles (PBE) data for a geometry-optimized PmTl2I5 structure, as listed in the Alexandria database.

DOS at the Fermi energy = 0.00 states/eV/f.u.
SG = Pnma (62)
size of the total moment = 0.00 μB/f.u.

Cell and atoms, written as POSCAR:
```
PmTl2I5
1.0
-7.833 -7.159 -1.736
6.291 -6.364 -2.139
0.604 -3.917 13.427
Pm Tl I
4 8 20
direct
0.497 0.250 0.501
0.003 0.250 0.001
0.503 0.750 0.499
0.997 0.750 0.999
0.584 0.999 0.165
0.416 0.499 0.835
0.084 0.499 0.335
0.084 0.001 0.335
0.916 0.501 0.665
0.584 0.501 0.165
0.916 0.999 0.665
0.416 0.001 0.835
0.823 0.497 0.930
0.999 0.750 0.499
0.632 0.750 0.696
0.127 0.750 0.803
0.177 0.997 0.070
0.373 0.750 0.303
0.368 0.250 0.304
0.499 0.250 0.001
0.868 0.750 0.196
0.627 0.250 0.697
0.001 0.250 0.501
0.323 0.997 0.570
0.132 0.250 0.804
0.677 0.497 0.430
0.323 0.503 0.570
0.501 0.750 0.999
0.677 0.003 0.430
0.873 0.250 0.197
0.823 0.003 0.930
0.177 0.503 0.070
```

=====

Run Q
First-principles (PBE) data for a geometry-optimized PmTl2I5 structure, as listed in the Alexandria database.

DOS at the Fermi energy = 0.00 states/eV/f.u.
SG = I4mm (107)
size of the total moment = 0.00 μB/f.u.

Cell and atoms, written as POSCAR:
```
PmTl2I5
1.0
-0.975 1.008 8.397
1.883 -8.214 1.205
6.326 5.247 -4.215
Pm I Tl
1 5 2
direct
0.985 0.985 0.969
0.291 0.291 0.092
0.800 0.800 0.092
0.291 0.801 0.092
0.775 0.775 0.550
0.801 0.291 0.092
0.667 0.167 0.333
0.167 0.667 0.333
```

=====

Short version: run Q is the least stable of them.

=====

Run P
First-principles (PBE) data for a geometry-optimized Pm2TmI structure, as listed in the Alexandria database.

DOS at the Fermi energy = 3.91 states/eV/f.u.
SG = P4/mmm (123)
size of the total moment = 0.00 μB/f.u.

Cell and atoms, written as POSCAR:
```
Pm2TmI
1.0
3.677 0.000 0.000
0.000 3.677 0.000
0.000 0.000 9.607
Pm I Tm
2 1 1
direct
0.000 0.000 0.744
0.000 0.000 0.256
0.500 0.500 0.500
0.500 0.500 0.000
```

=====

Run Q
First-principles (PBE) data for a geometry-optimized Pm2TmI structure, as listed in the Alexandria database.

DOS at the Fermi energy = 6.22 states/eV/f.u.
SG = R3m (160)
size of the total moment = 0.00 μB/f.u.

Cell and atoms, written as POSCAR:
```
Pm2TmI
1.0
3.806 0.000 0.000
1.903 3.296 0.000
1.903 1.099 10.584
Tm I Pm
1 1 2
direct
0.500 0.500 0.501
0.667 0.667 0.000
0.080 0.080 0.760
0.254 0.254 0.239
```

=====

Short version: run P is the least stable of them.

=====

Run P
First-principles (PBE) data for a geometry-optimized PmYI structure, as listed in the Alexandria database.

DOS at the Fermi energy = 3.99 states/eV/f.u.
SG = I4mm (107)
size of the total moment = 0.00 μB/f.u.

Cell and atoms, written as POSCAR:
```
PmYI
1.0
3.728 0.000 0.000
0.000 3.728 0.000
-1.864 -1.864 7.043
Pm I Y
1 1 1
direct
0.001 0.001 0.001
0.670 0.670 0.341
0.329 0.329 0.658
```

=====

Run Q
First-principles (PBE) data for a geometry-optimized PmYI structure, as listed in the Alexandria database.

DOS at the Fermi energy = 3.91 states/eV/f.u.
SG = P3m1 (156)
size of the total moment = 0.31 μB/f.u.

Cell and atoms, written as POSCAR:
```
PmYI
1.0
-2.022 3.277 -0.476
0.415 -1.526 3.543
6.409 4.101 1.015
Y I Pm
1 1 1
direct
0.333 0.667 0.654
0.667 0.333 0.339
0.000 0.000 0.007
```

=====

Short version: run P is the least stable of them.

=====

Run P
First-principles (PBE) data for a geometry-optimized Pm2ZnI structure, as listed in the Alexandria database.

DOS at the Fermi energy = 3.92 states/eV/f.u.
SG = R-3m (166)
size of the total moment = 0.00 μB/f.u.

Cell and atoms, written as POSCAR:
```
Pm2ZnI
1.0
4.179 0.000 0.000
2.090 3.620 0.000
2.090 1.207 7.978
Zn I Pm
1 1 2
direct
0.000 0.000 0.000
0.500 0.500 0.500
0.261 0.261 0.217
0.739 0.739 0.783
```

=====

Run Q
First-principles (PBE) data for a geometry-optimized Pm2ZnI structure, as listed in the Alexandria database.

DOS at the Fermi energy = 4.46 states/eV/f.u.
SG = R3m (160)
size of the total moment = 0.00 μB/f.u.

Cell and atoms, written as POSCAR:
```
Pm2ZnI
1.0
-2.494 2.864 -1.346
-1.016 0.118 -3.898
-7.785 -4.027 -0.175
Pm Zn I
2 1 1
direct
0.259 0.259 0.223
0.074 0.074 0.777
0.667 0.667 0.998
0.499 0.499 0.502
```

=====

Short version: run P is the least stable of them.

=====

Run P
First-principles (PBE) data for a geometry-optimized Pr2I3 structure, as listed in the Alexandria database.

DOS at the Fermi energy = 0.48 states/eV/f.u.
SG = C2/m (12)
size of the total moment = 0.00 μB/f.u.

Cell and atoms, written as POSCAR:
```
Pr2I3
1.0
-1.479 -3.036 -2.643
-0.170 -8.094 5.912
-10.294 -1.251 3.719
I Pr
6 4
direct
0.663 0.178 0.496
0.337 0.822 0.504
0.220 0.684 0.877
0.037 0.665 0.261
0.780 0.316 0.123
0.963 0.335 0.739
0.135 0.011 0.718
0.573 0.811 0.043
0.865 0.989 0.282
0.427 0.189 0.957
```

=====

Run Q
First-principles (PBE) data for a geometry-optimized Pr2I3 structure, as listed in the Alexandria database.

DOS at the Fermi energy = 4.51 states/eV/f.u.
SG = R-3c (167)
size of the total moment = 1.32 μB/f.u.

Cell and atoms, written as POSCAR:
```
Pr2I3
1.0
-0.030 -5.150 5.282
2.909 -6.651 -1.316
8.339 -1.235 3.995
Pr I
4 6
direct
0.829 0.829 0.512
0.671 0.671 0.988
0.171 0.171 0.488
0.329 0.329 0.012
0.906 0.250 0.250
0.250 0.594 0.250
0.750 0.406 0.750
0.406 0.094 0.750
0.094 0.750 0.750
0.594 0.906 0.250
```

=====

Short version: run Q is the least stable of them.

=====

Run P
First-principles (PBE) data for a geometry-optimized Pr2PtI structure, as listed in the Alexandria database.

DOS at the Fermi energy = 2.99 states/eV/f.u.
SG = R-3m (166)
size of the total moment = 0.00 μB/f.u.

Cell and atoms, written as POSCAR:
```
Pr2PtI
1.0
-3.204 2.544 -1.355
0.560 -3.888 -1.772
-4.261 -1.517 7.229
I Pr Pt
1 2 1
direct
0.500 0.500 0.000
0.271 0.042 0.313
0.729 0.958 0.687
0.000 0.500 0.500
```

=====

Run Q
First-principles (PBE) data for a geometry-optimized Pr2PtI structure, as listed in the Alexandria database.

DOS at the Fermi energy = 3.87 states/eV/f.u.
SG = P4/mmm (123)
size of the total moment = 0.00 μB/f.u.

Cell and atoms, written as POSCAR:
```
Pr2PtI
1.0
3.665 0.000 0.000
0.000 3.665 0.000
0.000 0.000 8.487
Pr Pt I
2 1 1
direct
0.000 0.000 0.793
0.000 0.000 0.207
0.500 0.500 0.000
0.500 0.500 0.500
```

=====

Short version: run Q is the least stable of them.

=====

Run P
First-principles (PBE) data for a geometry-optimized Pr2PuI structure, as listed in the Alexandria database.

DOS at the Fermi energy = 9.82 states/eV/f.u.
SG = P4/mmm (123)
size of the total moment = 6.30 μB/f.u.

Cell and atoms, written as POSCAR:
```
Pr2PuI
1.0
-3.613 0.341 -0.682
-0.508 -3.540 0.918
-1.477 2.575 9.111
I Pr Pu
1 2 1
direct
0.500 0.500 0.500
0.000 0.000 0.747
0.000 0.000 0.253
0.500 0.500 0.000
```

=====

Run Q
First-principles (PBE) data for a geometry-optimized Pr2PuI structure, as listed in the Alexandria database.

DOS at the Fermi energy = 12.21 states/eV/f.u.
SG = R-3m (166)
size of the total moment = 6.38 μB/f.u.

Cell and atoms, written as POSCAR:
```
Pr2PuI
1.0
-2.092 2.825 1.022
-0.335 0.840 3.547
8.516 8.428 0.695
Pr Pu I
2 1 1
direct
0.906 0.906 0.281
0.094 0.094 0.719
0.000 0.000 0.000
0.500 0.500 0.500
```

=====

Short version: run Q is the least stable of them.

=====

Run P
First-principles (PBE) data for a geometry-optimized RbPr2I8 structure, as listed in the Alexandria database.

DOS at the Fermi energy = 1.87 states/eV/f.u.
SG = C2/m (12)
size of the total moment = 0.00 μB/f.u.

Cell and atoms, written as POSCAR:
```
RbPr2I8
1.0
-5.184 -0.651 -3.517
0.513 -9.228 0.970
-4.961 4.386 6.519
I Rb Pr
8 1 2
direct
0.001 0.324 0.056
0.749 0.499 0.499
0.251 0.501 0.501
0.999 0.676 0.944
0.500 0.259 0.741
0.001 0.056 0.324
0.999 0.944 0.676
0.500 0.741 0.259
0.500 0.000 0.000
0.000 0.695 0.305
0.000 0.305 0.695
```

=====

Run Q
First-principles (PBE) data for a geometry-optimized RbPr2I8 structure, as listed in the Alexandria database.

DOS at the Fermi energy = 14.77 states/eV/f.u.
SG = C2/m (12)
size of the total moment = 0.00 μB/f.u.

Cell and atoms, written as POSCAR:
```
RbPr2I8
1.0
9.385 -0.033 0.995
1.039 7.532 2.581
0.437 -0.729 7.984
I Rb Pr
8 1 2
direct
0.641 0.942 0.312
0.359 0.688 0.058
0.359 0.058 0.688
0.276 0.566 0.566
0.724 0.434 0.434
0.641 0.312 0.942
0.830 0.763 0.763
0.170 0.237 0.237
0.000 0.000 0.000
0.545 0.681 0.681
0.455 0.319 0.319
```

=====

Short version: run Q is the least stable of them.